The following is a PBE calculation of a geometry-optimized InRu2W structure, from the Alexandria database.

Structure (CIF):
```
data_InRu2W
_symmetry_space_group_name_H-M 'F -4 3 m'
_symmetry_Int_Tables_number 216
_symmetry_space_group_name_Hall 'F -4 2 3'
_cell_length_a 6.377
_cell_length_b 6.377
_cell_length_c 6.377
_cell_angle_alpha 90.00
_cell_angle_beta 90.00
_cell_angle_gamma 90.00
loop_
_atom_site_label
_atom_site_type_symbol
_atom_site_fract_x
_atom_site_fract_y
_atom_site_fract_z
In1 In 0.000 0.000 0.000
Ru1 Ru 0.000 0.000 0.500
Ru2 Ru 0.250 0.250 0.750
W1 W 0.250 0.250 0.250
```

Results
The calculation puts the total magnetization at 1.8 μB/f.u.

---

The following is a PBE calculation of a geometry-optimized InRu2W structure, from the Alexandria database.

Structure (CIF):
```
data_InRu2W
_symmetry_space_group_name_H-M 'C m m 2'
_symmetry_Int_Tables_number 35
_cell_length_a 2.993
_cell_length_b 4.752
_cell_length_c 9.208
_cell_angle_alpha 90.00
_cell_angle_beta 90.00
_cell_angle_gamma 90.00
loop_
_symmetry_equiv_pos_as_xyz
'x,y,z'
'-x,-y,z'
'-x,y,z'
'x,-y,z'
'x+1/2,y+1/2,z'
'-x+1/2,-y+1/2,z'
'-x+1/2,y+1/2,z'
'x+1/2,-y+1/2,z'
loop_
_atom_site_label
_atom_site_type_symbol
_atom_site_fract_x
_atom_site_fract_y
_atom_site_fract_z
In1 In 0.000 0.000 0.000
Ru1 Ru 0.000 0.000 0.492
Ru2 Ru 0.000 0.500 0.252
W1 W 0.000 0.500 0.726
```

Results
The calculation puts the total magnetization at 0.8 μB/f.u.

---

The following is a PBE calculation of a geometry-optimized InRuW structure, from the Alexandria database.

Structure (CIF):
```
data_InRuW
_symmetry_space_group_name_H-M 'P 3 m 1'
_symmetry_Int_Tables_number 156
_cell_length_a 2.9150
_cell_length_b 2.9150
_cell_length_c 6.9069
_cell_angle_alpha 90.00
_cell_angle_beta 90.00
_cell_angle_gamma 120.00
loop_
_symmetry_equiv_pos_as_xyz
'x,y,z'
'-y,x-y,z'
'-x+y,-x,z'
'-y,-x,z'
'-x+y,y,z'
'x,x-y,z'
loop_
_atom_site_label
_atom_site_type_symbol
_atom_site_fract_x
_atom_site_fract_y
_atom_site_fract_z
In1 In 0.0000 0.0000 0.0000
Ru1 Ru 0.6667 0.3333 0.3425
W1 W 0.3333 0.6667 0.6370
```

Results
The calculation puts the total magnetization at 0.0 μB/f.u.

---

The following is a PBE calculation of a geometry-optimized InRuW2 structure, from the Alexandria database.

Structure (CIF):
```
data_InRuW2
_symmetry_space_group_name_H-M 'P 4/m m m'
_symmetry_Int_Tables_number 123
_symmetry_space_group_name_Hall '-P 4 2'
_cell_length_a 2.858
_cell_length_b 2.858
_cell_length_c 8.151
_cell_angle_alpha 90.00
_cell_angle_beta 90.00
_cell_angle_gamma 90.00
loop_
_atom_site_label
_atom_site_type_symbol
_atom_site_fract_x
_atom_site_fract_y
_atom_site_fract_z
In1 In 0.000 0.000 0.000
Ru1 Ru 0.000 0.000 0.500
W1 W 0.500 0.500 0.276
```

Results
The calculation puts the total magnetization at 0.0 μB/f.u.

---

The following is a PBE calculation of a geometry-optimized InRu2W structure, from the Alexandria database.

Structure (CIF):
```
data_InRu2W
_symmetry_space_group_name_H-M 'R 3 m'
_symmetry_Int_Tables_number 160
_symmetry_space_group_name_Hall 'R 3 -2"'
_cell_length_a 2.8520
_cell_length_b 2.8520
_cell_length_c 27.4265
_cell_angle_alpha 90.00
_cell_angle_beta 90.00
_cell_angle_gamma 120.00
loop_
_atom_site_label
_atom_site_type_symbol
_atom_site_fract_x
_atom_site_fract_y
_atom_site_fract_z
In1 In 0.0000 0.0000 0.0000
Ru1 Ru 0.0000 0.0000 0.4957
Ru2 Ru 0.0000 0.0000 0.7522
W1 W 0.0000 0.0000 0.2416
```

Results
The calculation puts the total magnetization at 0.0 μB/f.u.

---

The following is a PBE calculation of a geometry-optimized YIn2RuW structure, from the Alexandria database.

Structure (CIF):
```
data_YIn2RuW
_symmetry_space_group_name_H-M 'P 4/m m m'
_symmetry_Int_Tables_number 123
_symmetry_space_group_name_Hall '-P 4 2'
_cell_length_a 5.215
_cell_length_b 5.215
_cell_length_c 4.710
_cell_angle_alpha 90.00
_cell_angle_beta 90.00
_cell_angle_gamma 90.00
loop_
_atom_site_label
_atom_site_type_symbol
_atom_site_fract_x
_atom_site_fract_y
_atom_site_fract_z
Y1 Y 0.000 0.000 0.000
In1 In 0.000 0.500 0.500
Ru1 Ru 0.500 0.500 0.000
W1 W 0.500 0.500 0.500
```

Results
The calculation puts the total magnetization at 0.0 μB/f.u.

---

The following is a PBE calculation of a geometry-optimized YInRu2 structure, from the Alexandria database.

Structure (CIF):
```
data_YInRu2
_symmetry_space_group_name_H-M 'P 4 m m'
_symmetry_Int_Tables_number 99
_cell_length_a 3.044
_cell_length_b 3.044
_cell_length_c 8.178
_cell_angle_alpha 90.00
_cell_angle_beta 90.00
_cell_angle_gamma 90.00
loop_
_symmetry_equiv_pos_as_xyz
'x,y,z'
'-y,x,z'
'-x,-y,z'
'y,-x,z'
'-x,y,z'
'y,x,z'
'x,-y,z'
'-y,-x,z'
loop_
_atom_site_label
_atom_site_type_symbol
_atom_site_fract_x
_atom_site_fract_y
_atom_site_fract_z
Y1 Y 0.000 0.000 0.000
In1 In 0.500 0.500 0.321
Ru1 Ru 0.000 0.000 0.560
Ru2 Ru 0.500 0.500 0.742
```

Results
The calculation puts the total magnetization at 0.0 μB/f.u.

---

The following is a PBE calculation of a geometry-optimized Y5InRu structure, from the Alexandria database.

Structure (CIF):
```
data_Y5InRu
_symmetry_space_group_name_H-M 'C 1 2/c 1'
_symmetry_Int_Tables_number 15
_cell_length_a 9.288
_cell_length_b 7.504
_cell_length_c 11.841
_cell_angle_alpha 90.00
_cell_angle_beta 106.55
_cell_angle_gamma 90.00
loop_
_symmetry_equiv_pos_as_xyz
'x,y,z'
'-x,-y,-z'
'-x,y,-z+1/2'
'x,-y,z+1/2'
'x+1/2,y+1/2,z'
'-x+1/2,-y+1/2,-z'
'-x+1/2,y+1/2,-z+1/2'
'x+1/2,-y+1/2,z+1/2'
loop_
_atom_site_label
_atom_site_type_symbol
_atom_site_fract_x
_atom_site_fract_y
_atom_site_fract_z
Y1 Y 0.000 0.006 0.250
Y2 Y 0.124 0.331 0.063
Y3 Y 0.247 0.167 0.624
In1 In 0.000 0.404 0.750
Ru1 Ru 0.000 0.000 0.000
```

Results
The calculation puts the total magnetization at 0.0 μB/f.u.

---

The following is a PBE calculation of a geometry-optimized YInRu2 structure, from the Alexandria database.

Structure (CIF):
```
data_YInRu2
_symmetry_space_group_name_H-M 'I -4 2 d'
_symmetry_Int_Tables_number 122
_symmetry_space_group_name_Hall 'I -4 2bw'
_cell_length_a 4.323
_cell_length_b 4.323
_cell_length_c 18.844
_cell_angle_alpha 90.00
_cell_angle_beta 90.00
_cell_angle_gamma 90.00
loop_
_atom_site_label
_atom_site_type_symbol
_atom_site_fract_x
_atom_site_fract_y
_atom_site_fract_z
Y1 Y 0.000 0.000 0.000
In1 In 0.000 0.000 0.500
Ru1 Ru 0.145 0.250 0.625
```

Results
The calculation puts the total magnetization at 0.0 μB/f.u.

---

The following is a PBE calculation of a geometry-optimized Y6InRu structure, from the Alexandria database.

Structure (CIF):
```
data_Y6InRu
_symmetry_space_group_name_H-M 'P -1'
_symmetry_Int_Tables_number 2
_cell_length_a 6.883
_cell_length_b 6.894
_cell_length_c 7.517
_cell_angle_alpha 90.12
_cell_angle_beta 117.09
_cell_angle_gamma 119.94
loop_
_symmetry_equiv_pos_as_xyz
'x,y,z'
'-x,-y,-z'
loop_
_atom_site_label
_atom_site_type_symbol
_atom_site_fract_x
_atom_site_fract_y
_atom_site_fract_z
Y1 Y 0.044 0.083 0.256
Y2 Y 0.294 0.711 0.255
Y3 Y 0.326 0.538 0.745
In1 In 0.500 0.000 0.000
Ru1 Ru 0.500 0.500 0.500
```

Results
The calculation puts the total magnetization at 0.0 μB/f.u.

---

The following is a PBE calculation of a geometry-optimized Y2InRu structure, from the Alexandria database.

Structure (CIF):
```
data_Y2InRu
_symmetry_space_group_name_H-M 'P 4/m m m'
_symmetry_Int_Tables_number 123
_symmetry_space_group_name_Hall '-P 4 2'
_cell_length_a 3.497
_cell_length_b 3.497
_cell_length_c 7.650
_cell_angle_alpha 90.00
_cell_angle_beta 90.00
_cell_angle_gamma 90.00
loop_
_atom_site_label
_atom_site_type_symbol
_atom_site_fract_x
_atom_site_fract_y
_atom_site_fract_z
Y1 Y 0.000 0.000 0.216
In1 In 0.500 0.500 0.500
Ru1 Ru 0.500 0.500 0.000
```

Results
The calculation puts the total magnetization at 0.0 μB/f.u.

---

The following is a PBE calculation of a geometry-optimized YInRu2 structure, from the Alexandria database.

Structure (CIF):
```
data_YInRu2
_symmetry_space_group_name_H-M 'C 1 2/m 1'
_symmetry_Int_Tables_number 12
_cell_length_a 9.081
_cell_length_b 3.265
_cell_length_c 5.383
_cell_angle_alpha 90.00
_cell_angle_beta 105.11
_cell_angle_gamma 90.00
loop_
_symmetry_equiv_pos_as_xyz
'x,y,z'
'-x,-y,-z'
'-x,y,-z'
'x,-y,z'
'x+1/2,y+1/2,z'
'-x+1/2,-y+1/2,-z'
'-x+1/2,y+1/2,-z'
'x+1/2,-y+1/2,z'
loop_
_atom_site_label
_atom_site_type_symbol
_atom_site_fract_x
_atom_site_fract_y
_atom_site_fract_z
Y1 Y 0.000 0.000 0.000
In1 In 0.000 0.500 0.500
Ru1 Ru 0.244 0.000 0.701
```

Results
The calculation puts the total magnetization at 0.0 μB/f.u.

---

The following is a PBE calculation of a geometry-optimized Y8InRu2 structure, from the Alexandria database.

Structure (CIF):
```
data_Y8InRu2
_symmetry_space_group_name_H-M 'I m m 2'
_symmetry_Int_Tables_number 44
_cell_length_a 5.313
_cell_length_b 16.088
_cell_length_c 6.930
_cell_angle_alpha 90.00
_cell_angle_beta 90.00
_cell_angle_gamma 90.00
loop_
_symmetry_equiv_pos_as_xyz
'x,y,z'
'-x,-y,z'
'-x,y,z'
'x,-y,z'
'x+1/2,y+1/2,z+1/2'
'-x+1/2,-y+1/2,z+1/2'
'-x+1/2,y+1/2,z+1/2'
'x+1/2,-y+1/2,z+1/2'
loop_
_atom_site_label
_atom_site_type_symbol
_atom_site_fract_x
_atom_site_fract_y
_atom_site_fract_z
Y1 Y 0.000 0.000 0.000
Y2 Y 0.000 0.109 0.465
Y3 Y 0.000 0.288 0.133
Y4 Y 0.000 0.331 0.596
Y5 Y 0.000 0.500 0.231
In1 In 0.000 0.500 0.797
Ru1 Ru 0.000 0.172 0.828
```

Results
The calculation puts the total magnetization at 0.0 μB/f.u.

---

The following is a PBE calculation of a geometry-optimized Y11In9Ru4 structure, from the Alexandria database.

Structure (CIF):
```
data_Y11In9Ru4
_symmetry_space_group_name_H-M 'C m m m'
_symmetry_Int_Tables_number 65
_symmetry_space_group_name_Hall '-C 2 2'
_cell_length_a 14.355
_cell_length_b 21.626
_cell_length_c 3.780
_cell_angle_alpha 90.00
_cell_angle_beta 90.00
_cell_angle_gamma 90.00
loop_
_atom_site_label
_atom_site_type_symbol
_atom_site_fract_x
_atom_site_fract_y
_atom_site_fract_z
Y1 Y 0.000 0.000 0.000
Y2 Y 0.000 0.163 0.000
Y3 Y 0.000 0.369 0.000
Y4 Y 0.192 0.500 0.000
Y5 Y 0.249 0.333 0.000
In1 In 0.000 0.500 0.500
In2 In 0.108 0.261 0.500
In3 In 0.146 0.073 0.500
Ru1 Ru 0.144 0.402 0.500
```

Results
The calculation puts the total magnetization at 0.0 μB/f.u.

---

no.,total DFT energy (no corrections) (eV per atom)
1,-8.004
2,-8.034
3,-8.051
4,-9.183
5,-8.214
6,-6.159
7,-6.975
8,-6.499
9,-6.587
10,-6.378
11,-6.688
12,-6.891
13,-6.878
14,-6.030